Entry 1:
A relaxed structure of BeTeAs2, computed with GGA-PBE.

Values from the calculation:
ΔE_f (raw) ... 0.27 eV per atom
VASP energy ... -3.771 eV per atom
Total moment ... 0.0 Bohr magnetons per cell
Energy above the lowest structure with this stoichiometry ... 216 meV per atom

```
data_BeTeAs2
_chemical_formula_sum 'Be1 Te1 As2'
_cell_length_a 3.163
_cell_length_b 3.163
_cell_length_c 8.747
_cell_angle_alpha 90.00
_cell_angle_beta 90.00
_cell_angle_gamma 90.00
_symmetry_space_group_name_H-M 'P 4 m m'
_symmetry_Int_Tables_number 99
_symmetry_space_group_name_Hall 'P 4 -2'
loop_
_atom_site_label
_atom_site_fract_x
_atom_site_fract_y
_atom_site_fract_z
_atom_site_occupancy
Be1 0.000 0.000 0.000 1
Te1 0.500 0.500 0.390 1
As1 0.000 0.000 0.746 1
As2 0.500 0.500 0.085 1
```

---

Entry 2:
A relaxed structure of PaAlRe, computed with GGA-PBE.

Values from the calculation:
Energy of formation from the pure elements ... -0.049 eV/atom
VASP energy ... -8.611 eV per atom
Total moment ... 0.0 Bohr magnetons per cell
Energy above the lowest structure with this stoichiometry ... 260 meV per atom

```
data_PaAlRe
_chemical_formula_sum 'Pa1 Al1 Re1'
_cell_length_a 4.4604
_cell_length_b 4.4604
_cell_length_c 3.4424
_cell_angle_alpha 90.00
_cell_angle_beta 90.00
_cell_angle_gamma 120.00
_symmetry_space_group_name_H-M 'P -6 m 2'
_symmetry_Int_Tables_number 187
_symmetry_space_group_name_Hall 'P -6 2'
loop_
_atom_site_label
_atom_site_fract_x
_atom_site_fract_y
_atom_site_fract_z
_atom_site_occupancy
Pa1 0.0000 0.0000 0.0000 1
Al1 0.6667 0.3333 0.5000 1
Re1 0.3333 0.6667 0.5000 1
```

---

Entry 3:
A relaxed structure of Ga3BiCl, computed with GGA-PBE.

Values from the calculation:
ΔE_f (raw) ... 0.17 eV per atom
VASP energy ... -2.790 eV per atom
Total moment ... 0.0 Bohr magnetons per cell
Energy above the lowest structure with this stoichiometry ... 0 meV per atom

```
data_Ga3BiCl
_chemical_formula_sum 'Ga3 Bi1 Cl1'
_cell_length_a 5.248
_cell_length_b 5.248
_cell_length_c 5.248
_cell_angle_alpha 90.00
_cell_angle_beta 90.00
_cell_angle_gamma 90.00
_symmetry_space_group_name_H-M 'P m -3 m'
_symmetry_Int_Tables_number 221
_symmetry_space_group_name_Hall '-P 4 2 3'
loop_
_atom_site_label
_atom_site_fract_x
_atom_site_fract_y
_atom_site_fract_z
_atom_site_occupancy
Ga1 0.000 0.000 0.500 1
Bi1 0.500 0.500 0.500 1
Cl1 0.000 0.000 0.000 1
```

---

Entry 4:
A relaxed structure of MnZnIr2, computed with GGA-PBE.

Values from the calculation:
Energy of formation from the pure elements ... -0.121 eV/atom
VASP energy ... -7.162 eV per atom
Total moment ... 5.4 Bohr magnetons per cell

```
data_MnZnIr2
_chemical_formula_sum 'Mn2 Zn2 Ir4'
_cell_length_a 3.761
_cell_length_b 3.761
_cell_length_c 7.886
_cell_angle_alpha 90.00
_cell_angle_beta 90.00
_cell_angle_gamma 90.00
_symmetry_space_group_name_H-M 'I -4 m 2'
_symmetry_Int_Tables_number 119
_symmetry_space_group_name_Hall 'I -4 -2'
loop_
_atom_site_label
_atom_site_fract_x
_atom_site_fract_y
_atom_site_fract_z
_atom_site_occupancy
Mn1 0.000 0.000 0.000 1
Zn1 0.000 0.500 0.750 1
Ir1 0.000 0.000 0.500 1
Ir2 0.000 0.500 0.250 1
```

---

Entry 5:
A relaxed structure of MgTe, computed with GGA-PBE.

Values from the calculation:
ΔE_f (raw) ... -0.09 eV per atom
VASP energy ... -2.457 eV per atom
Total moment ... 0.0 Bohr magnetons per cell

```
data_MgTe
_chemical_formula_sum 'Mg4 Te4'
_cell_length_a 4.6168
_cell_length_b 4.6168
_cell_length_c 12.6084
_cell_angle_alpha 90.00
_cell_angle_beta 90.00
_cell_angle_gamma 120.00
_symmetry_space_group_name_H-M 'P 63/m m c'
_symmetry_Int_Tables_number 194
_symmetry_space_group_name_Hall '-P 6c 2c'
loop_
_atom_site_label
_atom_site_fract_x
_atom_site_fract_y
_atom_site_fract_z
_atom_site_occupancy
Mg1 0.0000 0.0000 0.2500 1
Mg2 0.3333 0.6667 0.2500 1
Te1 0.3333 0.6667 0.6076 1
```